(1)
! NaZn2Ir | Alexandria | PBE | optimized geometry; values from VASP
&SYSTEM
  ibrav = 0, nat = 4, ntyp = 3
/
ATOMIC_SPECIES
Na 22.99 Na.upf
Zn 65.41 Zn.upf
Ir 192.22 Ir.upf
ATOMIC_POSITIONS crystal
Na 0.000 0.000 0.000
Zn 0.500 0.500 0.303
Zn 0.500 0.500 0.697
Ir 0.000 0.000 0.500
CELL_PARAMETERS angstrom
3.100 0.000 0.000
0.000 3.100 0.000
0.000 0.000 7.210
! - M_tot (Bohr magnetons per cell) = 0.000
! - E_form (kJ/mol of formula units) = -9.8
! - Fermi-level density of states (states/eV per atom) = 0.425
! - total DFT energy (no corrections) (eV/atom) = -3.207

(2)
! NaZr2Ir2 | Alexandria | PBE | optimized geometry; values from VASP
&SYSTEM
  ibrav = 0, nat = 10, ntyp = 3
/
ATOMIC_SPECIES
Na 22.99 Na.upf
Zr 91.22 Zr.upf
Ir 192.22 Ir.upf
ATOMIC_POSITIONS crystal
Na 0.000 0.000 0.000
Na 0.500 0.500 0.000
Zr 0.147 0.353 0.000
Zr 0.353 0.853 0.000
Zr 0.647 0.147 0.000
Zr 0.853 0.647 0.000
Ir 0.145 0.645 0.500
Ir 0.355 0.145 0.500
Ir 0.645 0.855 0.500
Ir 0.855 0.355 0.500
CELL_PARAMETERS angstrom
8.037 0.000 0.000
0.000 8.037 0.000
0.000 0.000 3.064
! - M_tot (Bohr magnetons per cell) = 0.000
! - E_form (kJ/mol of formula units) = -214.8
! - Fermi-level density of states (states/eV per atom) = 0.816
! - total DFT energy (no corrections) (eV/atom) = -7.673
! - energy relative to the lowest polymorph listed for this composition (eV/atom) = 0.051

(3)
! Na2ZrIr | Alexandria | PBE | optimized geometry; values from VASP
&SYSTEM
  ibrav = 0, nat = 8, ntyp = 3
/
ATOMIC_SPECIES
Na 22.99 Na.upf
Zr 91.22 Zr.upf
Ir 192.22 Ir.upf
ATOMIC_POSITIONS crystal
Na 0.103 0.625 0.978
Na 0.375 0.353 0.478
Na 0.647 0.125 0.022
Na 0.875 0.897 0.522
Zr 0.250 0.750 0.500
Zr 0.500 0.500 0.000
Ir 0.000 0.000 0.000
Ir 0.750 0.250 0.500
CELL_PARAMETERS angstrom
-1.922 1.922 11.614
1.922 -1.922 11.614
1.922 1.922 -11.614
! - M_tot (Bohr magnetons per cell) = 0.000
! - E_form (kJ/mol of formula units) = 70.4
! - Fermi-level density of states (states/eV per atom) = 0.672
! - total DFT energy (no corrections) (eV/atom) = -4.829
! - energy relative to the lowest polymorph listed for this composition (eV/atom) = 0.000

(4)
! NaZr2Ir2 | Alexandria | PBE | optimized geometry; values from VASP
&SYSTEM
  ibrav = 0, nat = 10, ntyp = 3
/
ATOMIC_SPECIES
Na 22.99 Na.upf
Zr 91.22 Zr.upf
Ir 192.22 Ir.upf
ATOMIC_POSITIONS crystal
Na 0.000 0.000 0.000
Na 0.500 0.500 0.000
Zr 0.152 0.348 0.500
Zr 0.348 0.848 0.500
Zr 0.652 0.152 0.500
Zr 0.848 0.652 0.500
Ir 0.140 0.640 0.000
Ir 0.360 0.140 0.000
Ir 0.640 0.860 0.000
Ir 0.860 0.360 0.000
CELL_PARAMETERS angstrom
7.979 0.000 0.000
0.000 7.979 0.000
0.000 0.000 3.109
! - M_tot (Bohr magnetons per cell) = 0.000
! - E_form (kJ/mol of formula units) = -239.6
! - Fermi-level density of states (states/eV per atom) = 0.704
! - total DFT energy (no corrections) (eV/atom) = -7.724
! - energy relative to the lowest polymorph listed for this composition (eV/atom) = 0.000

(5)
! Na2ZrIr | Alexandria | PBE | optimized geometry; values from VASP
&SYSTEM
  ibrav = 0, nat = 4, ntyp = 3
/
ATOMIC_SPECIES
Na 22.99 Na.upf
Zr 91.22 Zr.upf
Ir 192.22 Ir.upf
ATOMIC_POSITIONS crystal
Na 0.250 0.250 0.250
Na 0.750 0.750 0.750
Zr 0.000 0.000 0.000
Ir 0.500 0.500 0.500
CELL_PARAMETERS angstrom
0.000 3.370 3.370
3.370 0.000 3.370
3.370 3.370 0.000
! - M_tot (Bohr magnetons per cell) = 0.000
! - E_form (kJ/mol of formula units) = 308.6
! - Fermi-level density of states (states/eV per atom) = 1.038
! - total DFT energy (no corrections) (eV/atom) = -4.212
! - energy relative to the lowest polymorph listed for this composition (eV/atom) = 0.617

(6)
! Na2ZrIr2 | Alexandria | PBE | optimized geometry; values from VASP
&SYSTEM
  ibrav = 0, nat = 5, ntyp = 3
/
ATOMIC_SPECIES
Na 22.99 Na.upf
Zr 91.22 Zr.upf
Ir 192.22 Ir.upf
ATOMIC_POSITIONS crystal
Na 0.250 0.750 0.500
Na 0.750 0.250 0.500
Zr 0.000 0.000 0.000
Ir 0.407 0.407 0.000
Ir 0.593 0.593 0.000
CELL_PARAMETERS angstrom
-1.742 1.742 7.623
1.742 -1.742 7.623
1.742 1.742 -7.623
! - M_tot (Bohr magnetons per cell) = 0.000
! - E_form (kJ/mol of formula units) = 94.5
! - Fermi-level density of states (states/eV per atom) = 0.494
! - total DFT energy (no corrections) (eV/atom) = -5.586
! - energy relative to the lowest polymorph listed for this composition (eV/atom) = 0.022

(7)
! NaZr2Ir | Alexandria | PBE | optimized geometry; values from VASP
&SYSTEM
  ibrav = 0, nat = 8, ntyp = 3
/
ATOMIC_SPECIES
Na 22.99 Na.upf
Zr 91.22 Zr.upf
Ir 192.22 Ir.upf
ATOMIC_POSITIONS crystal
Na 0.000 0.000 0.000
Na 0.750 0.250 0.500
Zr 0.173 0.625 0.048
Zr 0.375 0.423 0.548
Zr 0.577 0.125 0.952
Zr 0.875 0.827 0.452
Ir 0.250 0.750 0.500
Ir 0.500 0.500 0.000
CELL_PARAMETERS angstrom
-3.883 3.883 3.007
3.883 -3.883 3.007
3.883 3.883 -3.007
! - M_tot (Bohr magnetons per cell) = 0.000
! - E_form (kJ/mol of formula units) = 74.1
! - Fermi-level density of states (states/eV per atom) = 0.679
! - total DFT energy (no corrections) (eV/atom) = -6.627

(8)
! Na2ZrIr2 | Alexandria | PBE | optimized geometry; values from VASP
&SYSTEM
  ibrav = 0, nat = 10, ntyp = 3
/
ATOMIC_SPECIES
Na 22.99 Na.upf
Zr 91.22 Zr.upf
Ir 192.22 Ir.upf
ATOMIC_POSITIONS crystal
Na 0.164 0.336 0.000
Na 0.336 0.836 0.000
Na 0.664 0.164 0.000
Na 0.836 0.664 0.000
Zr 0.000 0.000 0.500
Zr 0.500 0.500 0.500
Ir 0.132 0.632 0.500
Ir 0.368 0.132 0.500
Ir 0.632 0.868 0.500
Ir 0.868 0.368 0.500
CELL_PARAMETERS angstrom
6.622 0.000 0.000
0.000 6.622 0.000
0.000 0.000 5.056
! - M_tot (Bohr magnetons per cell) = 0.000
! - E_form (kJ/mol of formula units) = 84.2
! - Fermi-level density of states (states/eV per atom) = 0.603
! - total DFT energy (no corrections) (eV/atom) = -5.607
! - energy relative to the lowest polymorph listed for this composition (eV/atom) = 0.000

(9)
! NbIr3 | Alexandria | PBE | optimized geometry; values from VASP
&SYSTEM
  ibrav = 0, nat = 8, ntyp = 2
/
ATOMIC_SPECIES
Nb 92.91 Nb.upf
Ir 192.22 Ir.upf
ATOMIC_POSITIONS crystal
Nb 0.333 0.667 0.250
Nb 0.667 0.333 0.750
Ir 0.164 0.328 0.750
Ir 0.164 0.836 0.750
Ir 0.328 0.164 0.250
Ir 0.672 0.836 0.750
Ir 0.836 0.164 0.250
Ir 0.836 0.672 0.250
CELL_PARAMETERS angstrom
5.585 0.000 0.000
-2.792 4.836 0.000
0.000 0.000 4.489
! - M_tot (Bohr magnetons per cell) = 0.000
! - E_form (kJ/mol of formula units) = -229.5
! - Fermi-level density of states (states/eV per atom) = 0.841
! - total DFT energy (no corrections) (eV/atom) = -9.758

(10)
! NbIr | Alexandria | PBE | optimized geometry; values from VASP
&SYSTEM
  ibrav = 0, nat = 8, ntyp = 2
/
ATOMIC_SPECIES
Nb 92.91 Nb.upf
Ir 192.22 Ir.upf
ATOMIC_POSITIONS crystal
Nb 0.139 0.645 0.784
Nb 0.355 0.139 0.494
Nb 0.645 0.861 0.506
Nb 0.861 0.355 0.216
Ir 0.320 0.419 0.740
Ir 0.419 0.680 0.099
Ir 0.581 0.320 0.901
Ir 0.680 0.581 0.260
CELL_PARAMETERS angstrom
-4.752 4.752 1.761
4.752 -4.752 1.761
4.752 4.752 -1.761
! - M_tot (Bohr magnetons per cell) = 0.000
! - E_form (kJ/mol of formula units) = 12.6
! - Fermi-level density of states (states/eV per atom) = 0.902
! - total DFT energy (no corrections) (eV/atom) = -9.400

(11)
! NbIr | Alexandria | PBE | optimized geometry; values from VASP
&SYSTEM
  ibrav = 0, nat = 12, ntyp = 2
/
ATOMIC_SPECIES
Nb 92.91 Nb.upf
Ir 192.22 Ir.upf
ATOMIC_POSITIONS crystal
Nb 0.085 0.000 0.173
Nb 0.250 0.000 0.545
Nb 0.415 0.000 0.173
Nb 0.585 0.000 0.827
Nb 0.750 0.000 0.455
Nb 0.915 0.000 0.827
Ir 0.083 0.500 0.675
Ir 0.250 0.500 0.036
Ir 0.417 0.500 0.675
Ir 0.583 0.500 0.325
Ir 0.750 0.500 0.964
Ir 0.917 0.500 0.325
CELL_PARAMETERS angstrom
13.853 0.000 0.000
0.000 2.870 0.000
0.000 0.000 4.878
! - M_tot (Bohr magnetons per cell) = 0.000
! - E_form (kJ/mol of formula units) = -100.0
! - Fermi-level density of states (states/eV per atom) = 1.018
! - total DFT energy (no corrections) (eV/atom) = -9.983

(12)
! Nb5Ir | Alexandria | PBE | optimized geometry; values from VASP
&SYSTEM
  ibrav = 0, nat = 6, ntyp = 2
/
ATOMIC_SPECIES
Nb 92.91 Nb.upf
Ir 192.22 Ir.upf
ATOMIC_POSITIONS crystal
Nb 0.000 0.000 0.000
Nb 0.164 0.836 0.500
Nb 0.336 0.664 0.000
Nb 0.664 0.336 0.000
Nb 0.836 0.164 0.500
Ir 0.500 0.500 0.500
CELL_PARAMETERS angstrom
2.309 -6.875 0.000
2.309 6.875 0.000
0.000 0.000 3.298
! - M_tot (Bohr magnetons per cell) = 0.000
! - E_form (kJ/mol of formula units) = -146.5
! - Fermi-level density of states (states/eV per atom) = 0.709
! - total DFT energy (no corrections) (eV/atom) = -10.121
! - energy relative to the lowest polymorph listed for this composition (eV/atom) = 0.017

Please write out number 3 again, unchanged.
! Na2ZrIr | Alexandria | PBE | optimized geometry; values from VASP
&SYSTEM
  ibrav = 0, nat = 8, ntyp = 3
/
ATOMIC_SPECIES
Na 22.99 Na.upf
Zr 91.22 Zr.upf
Ir 192.22 Ir.upf
ATOMIC_POSITIONS crystal
Na 0.103 0.625 0.978
Na 0.375 0.353 0.478
Na 0.647 0.125 0.022
Na 0.875 0.897 0.522
Zr 0.250 0.750 0.500
Zr 0.500 0.500 0.000
Ir 0.000 0.000 0.000
Ir 0.750 0.250 0.500
CELL_PARAMETERS angstrom
-1.922 1.922 11.614
1.922 -1.922 11.614
1.922 1.922 -11.614
! - M_tot (Bohr magnetons per cell) = 0.000
! - E_form (kJ/mol of formula units) = 70.4
! - Fermi-level density of states (states/eV per atom) = 0.672
! - total DFT energy (no corrections) (eV/atom) = -4.829
! - energy relative to the lowest polymorph listed for this composition (eV/atom) = 0.000

Repeat the fifth record exactly.
! Na2ZrIr | Alexandria | PBE | optimized geometry; values from VASP
&SYSTEM
  ibrav = 0, nat = 4, ntyp = 3
/
ATOMIC_SPECIES
Na 22.99 Na.upf
Zr 91.22 Zr.upf
Ir 192.22 Ir.upf
ATOMIC_POSITIONS crystal
Na 0.250 0.250 0.250
Na 0.750 0.750 0.750
Zr 0.000 0.000 0.000
Ir 0.500 0.500 0.500
CELL_PARAMETERS angstrom
0.000 3.370 3.370
3.370 0.000 3.370
3.370 3.370 0.000
! - M_tot (Bohr magnetons per cell) = 0.000
! - E_form (kJ/mol of formula units) = 308.6
! - Fermi-level density of states (states/eV per atom) = 1.038
! - total DFT energy (no corrections) (eV/atom) = -4.212
! - energy relative to the lowest polymorph listed for this composition (eV/atom) = 0.617

The lowest total DFT energy (no corrections) belongs to which entry? Nb5Ir

What is the formula in the third record? Na2ZrIr